## w
The following is a PBE-GGA calculation of an optimized crystal structure of TbYNiAu, from the Alexandria database.

## Properties
M_tot, μB per formula unit: 0.0
N(E_F), states/eV/atom: 0.602
Space-group type: Amm2 (38)

Unit cell a=4.5128 b=5.5998 c=5.5998 alpha=39.47 beta=90.00 gamma=90.00
Positions (direct):
Tb  0.0000  0.0000  0.0000
Y  0.5000  0.7200  0.7200
Ni  0.5000  0.4430  0.4430
Au  0.0000  0.2831  0.2831

## x
The following is a PBE-GGA calculation of an optimized crystal structure of TbYNiAu, from the Alexandria database.

## Properties
M_tot, μB per formula unit: 0.0
N(E_F), states/eV/atom: 0.733
Space-group type: F-43m (216)

Unit cell a=4.9753 b=4.9753 c=4.9753 alpha=60.00 beta=60.00 gamma=60.00
Positions (direct):
Tb  0.0000  0.0000  0.0000
Y  0.5000  0.5000  0.5000
Ni  0.7500  0.7500  0.7500
Au  0.2500  0.2500  0.2500

Stability, descending: w, x

## w
The following is a PBE-GGA calculation of an optimized crystal structure of TcNiAu3, from the Alexandria database.

## Properties
M_tot, μB per formula unit: 0.0
N(E_F), states/eV/atom: 2.336
Space-group type: Pm-3m (221)

Unit cell a=4.9797 b=4.9797 c=4.9797 alpha=90.00 beta=90.00 gamma=90.00
Positions (direct):
Tc  0.0000  0.0000  0.0000
Ni  0.5000  0.5000  0.5000
Au  0.0000  0.0000  0.5000
Au  0.0000  0.5000  0.0000
Au  0.5000  0.0000  0.0000

## x
The following is a PBE-GGA calculation of an optimized crystal structure of TcNiAu3, from the Alexandria database.

## Properties
M_tot, μB per formula unit: 4.5
N(E_F), states/eV/atom: 1.002
Space-group type: Pm-3m (221)

Unit cell a=4.7298 b=4.7298 c=4.7298 alpha=90.00 beta=90.00 gamma=90.00
Positions (direct):
Tc  0.0000  0.0000  0.0000
Ni  0.5000  0.5000  0.5000
Au  0.0000  0.5000  0.5000
Au  0.5000  0.0000  0.5000
Au  0.5000  0.5000  0.0000

Stability, descending: x, w

## w
The following is a PBE-GGA calculation of an optimized crystal structure of TcNiAu, from the Alexandria database.

## Properties
M_tot, μB per formula unit: 1.0
N(E_F), states/eV/atom: 1.171
Space-group type: Imm2 (44)

Unit cell a=4.8696 b=4.8696 c=4.8696 alpha=147.68 beta=134.41 gamma=56.98
Positions (direct):
Tc  0.0000  0.0000  0.0000
Ni  0.3615  0.3615  0.0000
Au  0.6838  0.6838  0.0000

## x
The following is a PBE-GGA calculation of an optimized crystal structure of TcNiAu, from the Alexandria database.

## Properties
M_tot, μB per formula unit: 0.0
N(E_F), states/eV/atom: 1.055
Space-group type: C2/m (12)

Unit cell a=4.7044 b=4.7044 c=7.8602 alpha=113.16 beta=113.16 gamma=33.56
Positions (direct):
Tc  0.1513  0.1513  0.0679
Tc  0.8487  0.8487  0.9321
Ni  0.4995  0.4995  0.2338
Ni  0.5005  0.5005  0.7662
Au  0.1665  0.1665  0.5963
Au  0.8335  0.8335  0.4037

Stability, descending: x, w